VASP calculation (PBE) on a relaxed structure of K4ScSe.

a b c (Å): 7.179 7.179 7.179
angles (deg): 60.00 60.00 60.00
Each line ends with the local moment (μB).
Sites, in units of the cell vectors:
K 0.882 0.373 0.373  0.01
K 0.373 0.373 0.882  0.01
K 0.373 0.882 0.373  0.01
K 0.373 0.373 0.373  0.01
Sc 0.750 0.750 0.750  0.77
Se 0.000 0.000 0.000  -0.01

Properties
As for the symmetry: F-43m, No. 216. The raw total energy is -0.072 hartree per atom. The volume is 43.597 Å³ per atom. The value obtained for the density is 1.78 g/cm3. As for the uncorrected formation energy: 2.5 eV/f.u.



VASP calculation (PBE) on a relaxed structure of KScSe.

a b c (Å): 4.497 4.497 10.638
angles (deg): 90.00 90.00 90.00
Sites, in units of the cell vectors:
K 0.000 0.500 0.822
K 0.500 0.000 0.178
Se 0.000 0.500 0.361
Se 0.500 0.000 0.639
Sc 0.500 0.500 0.500
Sc 0.000 0.000 0.500

Properties
As for the symmetry: P4/nmm, No. 129. The raw total energy is -0.168 hartree per atom. The volume is 35.858 Å³ per atom. The energy relative to the lowest polymorph listed for this composition comes out at 0 meV per atom. The value obtained for the density is 2.52 g/cm3. As for the uncorrected formation energy: -2.8 eV/f.u.



VASP calculation (PBE) on a relaxed structure of KScSe2.

a b c (Å): 4.275 7.672 4.092
angles (deg): 105.41 90.00 90.00
Sites, in units of the cell vectors:
K 0.000 0.464 0.170
Sc 0.500 0.004 0.939
Se 0.000 0.810 0.842
Se 0.500 0.222 0.548

Properties
As for the symmetry: Pm, No. 6. The raw total energy is -0.186 hartree per atom. The volume is 32.352 Å³ per atom. The value obtained for the density is 3.10 g/cm3. As for the uncorrected formation energy: -5.8 eV/f.u.



What is the uncorrected formation energy in the first record? 2.5 eV/f.u.